(1)
# LiNi2Au | Alexandria | GGA-PBE | relaxed
# Raw total energy: -4.084 eV per atom
data_LiNi2Au
_symmetry_space_group_name_H-M 'P 1'
_symmetry_Int_Tables_number 1
_cell_length_a 3.1310
_cell_length_b 3.1310
_cell_length_c 5.3507
_cell_angle_alpha 90.00
_cell_angle_beta 90.00
_cell_angle_gamma 90.00
loop_
_symmetry_equiv_pos_as_xyz
'x,y,z'
loop_
_atom_site_label
_atom_site_type_symbol
_atom_site_fract_x
_atom_site_fract_y
_atom_site_fract_z
Li1 Li 0.0000 0.0000 0.0000
Ni1 Ni 0.5000 0.5000 0.2322
Ni2 Ni 0.5000 0.5000 0.7678
Au1 Au 0.0000 0.0000 0.5000

=====

(2)
# LiNiAu2 | Alexandria | GGA-PBE | relaxed
# Raw total energy: -3.475 eV per atom
data_LiNiAu2
_symmetry_space_group_name_H-M 'P 1'
_symmetry_Int_Tables_number 1
_cell_length_a 9.2469
_cell_length_b 9.2469
_cell_length_c 9.2469
_cell_angle_alpha 155.68
_cell_angle_beta 155.68
_cell_angle_gamma 34.66
loop_
_symmetry_equiv_pos_as_xyz
'x,y,z'
loop_
_atom_site_label
_atom_site_type_symbol
_atom_site_fract_x
_atom_site_fract_y
_atom_site_fract_z
Li1 Li 0.0000 0.0000 0.0000
Li2 Li 0.7500 0.2500 0.5000
Ni1 Ni 0.2500 0.7500 0.5000
Ni2 Ni 0.5000 0.5000 0.0000
Au1 Au 0.1266 0.6250 0.0016
Au2 Au 0.3750 0.3766 0.5016
Au3 Au 0.6234 0.1250 0.9984
Au4 Au 0.8750 0.8734 0.4984

=====

(3)
# LiNi2Au | Alexandria | GGA-PBE | relaxed
# Raw total energy: -4.251 eV per atom
data_LiNi2Au
_symmetry_space_group_name_H-M 'P 1'
_symmetry_Int_Tables_number 1
_cell_length_a 2.8103
_cell_length_b 4.1727
_cell_length_c 4.3672
_cell_angle_alpha 90.00
_cell_angle_beta 90.00
_cell_angle_gamma 90.00
loop_
_symmetry_equiv_pos_as_xyz
'x,y,z'
loop_
_atom_site_label
_atom_site_type_symbol
_atom_site_fract_x
_atom_site_fract_y
_atom_site_fract_z
Li1 Li 0.0000 0.0000 0.0000
Ni1 Ni 0.0000 0.5000 0.5000
Ni2 Ni 0.5000 0.0000 0.5000
Au1 Au 0.5000 0.5000 0.0000

=====

(4)
# LiNi2Au | Alexandria | GGA-PBE | relaxed
# Raw total energy: -4.251 eV per atom
data_LiNi2Au
_symmetry_space_group_name_H-M 'P 1'
_symmetry_Int_Tables_number 1
_cell_length_a 4.6698
_cell_length_b 4.6698
_cell_length_c 4.6698
_cell_angle_alpha 134.27
_cell_angle_beta 134.27
_cell_angle_gamma 66.67
loop_
_symmetry_equiv_pos_as_xyz
'x,y,z'
loop_
_atom_site_label
_atom_site_type_symbol
_atom_site_fract_x
_atom_site_fract_y
_atom_site_fract_z
Li1 Li 0.0000 0.0000 0.0000
Ni1 Ni 0.2500 0.7500 0.5000
Ni2 Ni 0.7500 0.2500 0.5000
Au1 Au 0.5000 0.5000 0.0000

=====

(5)
# LiNi2Au | Alexandria | GGA-PBE | relaxed
# Raw total energy: -3.999 eV per atom
data_LiNi2Au
_symmetry_space_group_name_H-M 'P 1'
_symmetry_Int_Tables_number 1
_cell_length_a 2.6485
_cell_length_b 2.6485
_cell_length_c 8.7113
_cell_angle_alpha 90.00
_cell_angle_beta 90.00
_cell_angle_gamma 115.84
loop_
_symmetry_equiv_pos_as_xyz
'x,y,z'
loop_
_atom_site_label
_atom_site_type_symbol
_atom_site_fract_x
_atom_site_fract_y
_atom_site_fract_z
Li1 Li 0.0000 0.0000 0.0000
Ni1 Ni 0.5000 0.5000 0.2378
Ni2 Ni 0.5000 0.5000 0.7622
Au1 Au 0.0000 0.0000 0.5000

=====

(6)
# LiNiAu2 | Alexandria | GGA-PBE | relaxed
# Raw total energy: -3.758 eV per atom
data_LiNiAu2
_symmetry_space_group_name_H-M 'P 1'
_symmetry_Int_Tables_number 1
_cell_length_a 2.8373
_cell_length_b 2.8373
_cell_length_c 7.4122
_cell_angle_alpha 90.00
_cell_angle_beta 90.00
_cell_angle_gamma 90.00
loop_
_symmetry_equiv_pos_as_xyz
'x,y,z'
loop_
_atom_site_label
_atom_site_type_symbol
_atom_site_fract_x
_atom_site_fract_y
_atom_site_fract_z
Li1 Li 0.0000 0.0000 0.0000
Ni1 Ni 0.0000 0.0000 0.5000
Au1 Au 0.5000 0.5000 0.2576
Au2 Au 0.5000 0.5000 0.7424

=====

Question: Look up the raw total energy of the sixth one.
Answer: -3.758 eV per atom

=====

What did the sixth record say?
# LiNiAu2 | Alexandria | GGA-PBE | relaxed
# Raw total energy: -3.758 eV per atom
data_LiNiAu2
_symmetry_space_group_name_H-M 'P 1'
_symmetry_Int_Tables_number 1
_cell_length_a 2.8373
_cell_length_b 2.8373
_cell_length_c 7.4122
_cell_angle_alpha 90.00
_cell_angle_beta 90.00
_cell_angle_gamma 90.00
loop_
_symmetry_equiv_pos_as_xyz
'x,y,z'
loop_
_atom_site_label
_atom_site_type_symbol
_atom_site_fract_x
_atom_site_fract_y
_atom_site_fract_z
Li1 Li 0.0000 0.0000 0.0000
Ni1 Ni 0.0000 0.0000 0.5000
Au1 Au 0.5000 0.5000 0.2576
Au2 Au 0.5000 0.5000 0.7424